The following is a PBEsol calculation of a relaxed Sr2LaTa3O11 crystal, from Alexandria.

Cell lengths 11.3341, 11.3341, 11.3341 Å; angles 159.96, 150.94, 35.55 degrees
Closest atoms and distances in Å follow each position.
Positions (direct):
Sr1 0.2054 0.2054 0.0000  6 O 2.48-2.54
Sr2 0.7946 0.7946 0.0000  6 O 2.48-2.54
La1 0.5000 0.0000 0.5000  12 O 2.58-2.84
Ta1 0.0000 0.5000 0.5000  6 O 1.97-1.98
Ta2 0.3650 0.3650 0.0000  4 O 1.88-2.00
Ta3 0.6350 0.6350 0.0000  4 O 1.88-2.00
O1 0.0000 0.0000 0.0000  2 Ta 1.97
O2 0.0660 0.3051 0.7610  1 Ta 1.88
O3 0.2053 0.4406 0.7648  2 Ta 1.98-2.11
O4 0.3242 0.5594 0.7648  2 Ta 1.98-2.11
O5 0.3803 0.8803 0.5000  2 Ta 2.00
O6 0.4559 0.6949 0.7610  1 Ta 1.88
O7 0.5441 0.3051 0.2390  1 Ta 1.88
O8 0.6197 0.1197 0.5000  2 Ta 2.00
O9 0.6758 0.4406 0.2352  2 Ta 1.98-2.11
O10 0.7947 0.5594 0.2352  2 Ta 1.98-2.11
O11 0.9340 0.6949 0.2390  1 Ta 1.88

Computed properties:
SG: Immm, No. 71
DOS(E_F): 0.0000 states/eV per atom
calculated density: 7.1 g/cm3
formation energy from raw total energies: -5124 kJ/mol of formula units

***

The following is a PBEsol calculation of a relaxed SrLa2TlO crystal, from Alexandria.

Cell lengths 5.9387, 5.9387, 6.0439 Å; angles 90.00, 90.00, 90.00 degrees
Closest atoms and distances in Å follow each position.
Positions (direct):
Sr1 0.0000 0.0000 0.0000  2 Tl 3.02
La1 0.0000 0.5000 0.5000  2 Tl 2.97
La2 0.5000 0.0000 0.5000  2 Tl 2.97
Tl1 0.0000 0.0000 0.5000  4 La 2.97, 2 Sr 3.02
O1 0.5000 0.5000 0.0000  4 Sr 4.20, 8 La 4.24

Computed properties:
SG: P4/mmm, No. 123
DOS(E_F): 0.7786 states/eV per atom
calculated density: 4.6 g/cm3
formation energy from raw total energies: 248 kJ/mol of formula units

***

The following is a PBEsol calculation of a relaxed SrLaVO4 crystal, from Alexandria.

Cell lengths 6.7966, 6.7966, 5.4278 Å; angles 90.00, 90.00, 133.05 degrees
Closest atoms and distances in Å follow each position.
Positions (direct):
Sr1 0.1047 0.8953 0.7500  5 O 2.41-2.64
Sr2 0.8953 0.1047 0.2500  5 O 2.41-2.64
La1 0.3887 0.6113 0.7500  5 O 2.36-2.58
La2 0.6113 0.3887 0.2500  5 O 2.36-2.58
V1 0.2493 0.7507 0.2500  5 O 1.92-2.01
V2 0.7507 0.2493 0.7500  5 O 1.92-2.01
O1 0.0000 0.5000 0.0000  2 V 1.92
O2 0.0000 0.5000 0.5000  2 V 1.92
O3 0.0883 0.9117 0.2500  1 V 2.01
O4 0.4221 0.5779 0.2500  1 V 2.15, 1 La 2.36
O5 0.5000 0.0000 0.0000  2 V 1.92
O6 0.5000 0.0000 0.5000  2 V 1.92
O7 0.5779 0.4221 0.7500  1 V 2.15, 1 La 2.36
O8 0.9117 0.0883 0.7500  1 V 2.01

Computed properties:
SG: Cmcm, No. 63
DOS(E_F): 0.2791 states/eV per atom
energy above the lowest structure with this stoichiometry: 3 meV/atom
calculated density: 6.2 g/cm3
formation energy from raw total energies: -1986 kJ/mol of formula units

***

The following is a PBEsol calculation of a relaxed SrLaVO4 crystal, from Alexandria.

Cell lengths 6.7846, 6.7846, 6.7846 Å; angles 147.14, 147.14, 47.15 degrees
Closest atoms and distances in Å follow each position.
Positions (direct):
Sr1 0.0000 0.0000 0.0000  5 O 2.41-2.65
La1 0.7153 0.7153 0.0000  5 O 2.34-2.57
V1 0.3591 0.3591 0.0000  6 O 1.92-2.09
O1 0.1935 0.1935 0.0000  1 V 2.06
O2 0.3533 0.8533 0.5000  2 V 1.92
O3 0.5274 0.5274 0.0000  1 V 2.09, 1 La 2.34
O4 0.8533 0.3533 0.5000  2 V 1.92

Computed properties:
SG: I4mm, No. 107
DOS(E_F): 0.2784 states/eV per atom
energy above the lowest structure with this stoichiometry: 0 meV/atom
calculated density: 6.2 g/cm3
formation energy from raw total energies: -1988 kJ/mol of formula units

***

The following is a PBEsol calculation of a relaxed SrLa2WO7 crystal, from Alexandria.

Cell lengths 8.7669, 5.7516, 12.5882 Å; angles 90.00, 105.07, 90.00 degrees
Closest atoms and distances in Å follow each position.
Positions (direct):
Sr1 0.0125 0.0116 0.3654  6 O 2.48-2.67
Sr2 0.0125 0.4884 0.8654  6 O 2.48-2.67
Sr3 0.9875 0.5116 0.1346  6 O 2.48-2.67
Sr4 0.9875 0.9884 0.6346  6 O 2.48-2.67
La1 0.2998 0.5157 0.4164  6 O 2.34-2.55
La2 0.2998 0.9843 0.9164  6 O 2.34-2.55
La3 0.4298 0.0148 0.6304  6 O 2.32-2.58
La4 0.4298 0.4852 0.1304  6 O 2.32-2.58
La5 0.5702 0.5148 0.8696  6 O 2.32-2.58
La6 0.5702 0.9852 0.3696  6 O 2.32-2.58
La7 0.7002 0.0157 0.0836  6 O 2.34-2.55
La8 0.7002 0.4843 0.5836  6 O 2.34-2.55
W1 0.2129 0.0372 0.1635  6 O 1.90-1.99
W2 0.2129 0.4628 0.6635  6 O 1.90-1.99
W3 0.7871 0.5372 0.3365  6 O 1.90-1.99
W4 0.7871 0.9628 0.8365  6 O 1.90-1.99
O1 0.0028 0.5524 0.3353  1 W 1.90
O2 0.0028 0.9476 0.8353  1 W 1.90
O3 0.1812 0.2437 0.0341  1 W 1.98
O4 0.1812 0.2563 0.5341  1 W 1.98
O5 0.1942 0.7309 0.5726  1 W 1.90
O6 0.1942 0.7691 0.0726  1 W 1.90
O7 0.2423 0.1575 0.7406  1 W 1.99
O8 0.2423 0.3425 0.2406  1 W 1.99
O9 0.2614 0.6158 0.8030  1 W 1.91
O10 0.2614 0.8842 0.3030  1 W 1.91
O11 0.4393 0.0524 0.1771  1 W 1.95
O12 0.4393 0.4476 0.6771  1 W 1.95
O13 0.4947 0.2404 0.4895  4 La 2.32-2.38
O14 0.4947 0.2596 0.9895  4 La 2.32-2.38
O15 0.5053 0.7404 0.0105  4 La 2.32-2.38
O16 0.5053 0.7596 0.5105  4 La 2.32-2.38
O17 0.5607 0.5524 0.3229  1 W 1.95
O18 0.5607 0.9476 0.8229  1 W 1.95
O19 0.7386 0.1158 0.6970  1 W 1.91
O20 0.7386 0.3842 0.1970  1 W 1.91
O21 0.7577 0.6575 0.7594  1 W 1.99
O22 0.7577 0.8425 0.2594  1 W 1.99
O23 0.8058 0.2309 0.9274  1 W 1.90
O24 0.8058 0.2691 0.4274  1 W 1.90
O25 0.8188 0.7437 0.4659  1 W 1.98
O26 0.8188 0.7563 0.9659  1 W 1.98
O27 0.9972 0.0524 0.1647  1 W 1.90
O28 0.9972 0.4476 0.6647  1 W 1.90

Computed properties:
SG: P2_1/c, No. 14
DOS(E_F): 0.0000 states/eV per atom
calculated density: 7.2 g/cm3
formation energy from raw total energies: -3244 kJ/mol of formula units

***

The following is a PBEsol calculation of a relaxed La3TaO7 crystal, from Alexandria.

Cell lengths 6.7017, 6.7017, 7.7402 Å; angles 90.00, 90.00, 68.05 degrees
Closest atoms and distances in Å follow each position.
Positions (direct):
La1 0.0000 0.0000 0.0000  4 O 2.42
La2 0.0000 0.0000 0.5000  4 O 2.42
La3 0.0719 0.4747 0.7500  6 O 2.32-2.49
La4 0.4747 0.0719 0.2500  6 O 2.32-2.49
La5 0.5253 0.9281 0.7500  6 O 2.32-2.49
La6 0.9281 0.5253 0.2500  6 O 2.32-2.49
Ta1 0.5000 0.5000 0.0000  6 O 1.99
Ta2 0.5000 0.5000 0.5000  6 O 1.99
O1 0.1048 0.1545 0.2500  4 La 2.32-2.42
O2 0.1545 0.1048 0.7500  4 La 2.32-2.42
O3 0.1875 0.5624 0.0335  1 Ta 1.99
O4 0.1875 0.5624 0.4665  1 Ta 1.99
O5 0.4359 0.5641 0.7500  2 Ta 1.99
O6 0.4376 0.8125 0.0335  1 Ta 1.99
O7 0.4376 0.8125 0.4665  1 Ta 1.99
O8 0.5624 0.1875 0.5335  1 Ta 1.99
O9 0.5624 0.1875 0.9665  1 Ta 1.99
O10 0.5641 0.4359 0.2500  2 Ta 1.99
O11 0.8125 0.4376 0.5335  1 Ta 1.99
O12 0.8125 0.4376 0.9665  1 Ta 1.99
O13 0.8455 0.8952 0.2500  4 La 2.32-2.42
O14 0.8952 0.8455 0.7500  4 La 2.32-2.42

Computed properties:
SG: Cmcm, No. 63
DOS(E_F): 0.0000 states/eV per atom
energy above the lowest structure with this stoichiometry: 0 meV/atom
calculated density: 7.3 g/cm3
formation energy from raw total energies: -3606 kJ/mol of formula units

***

The following is a PBEsol calculation of a relaxed LaTaO4 crystal, from Alexandria.

Cell lengths 7.5302, 7.8941, 11.0481 Å; angles 90.00, 90.00, 90.00 degrees
Closest atoms and distances in Å follow each position.
Positions (direct):
La1 0.2272 0.1290 0.0281  6 O 2.43-2.50
La2 0.2272 0.3710 0.5281  6 O 2.43-2.50
La3 0.2728 0.6290 0.0281  6 O 2.43-2.50
La4 0.2728 0.8710 0.5281  6 O 2.43-2.50
La5 0.7272 0.1290 0.4719  6 O 2.43-2.50
La6 0.7272 0.3710 0.9719  6 O 2.43-2.50
La7 0.7728 0.6290 0.4719  6 O 2.43-2.50
La8 0.7728 0.8710 0.9719  6 O 2.43-2.50
Ta1 0.0016 0.6221 0.7525  6 O 1.93-2.01
Ta2 0.0016 0.8779 0.2525  6 O 1.93-2.01
Ta3 0.4984 0.1221 0.7525  6 O 1.93-2.01
Ta4 0.4984 0.3779 0.2525  6 O 1.93-2.01
Ta5 0.5016 0.6221 0.7475  6 O 1.93-2.01
Ta6 0.5016 0.8779 0.2475  6 O 1.93-2.01
Ta7 0.9984 0.1221 0.7475  6 O 1.93-2.01
Ta8 0.9984 0.3779 0.2475  6 O 1.93-2.01
O1 0.0144 0.1265 0.2306  2 Ta 1.98-2.00
O2 0.0144 0.3735 0.7306  2 Ta 1.98-2.00
O3 0.0664 0.6395 0.5771  1 Ta 2.00
O4 0.0664 0.8605 0.0771  1 Ta 2.00
O5 0.0792 0.1059 0.5826  1 Ta 1.93
O6 0.0792 0.3941 0.0826  1 Ta 1.93
O7 0.2496 0.1256 0.8091  2 Ta 1.97-2.01
O8 0.2496 0.3744 0.3091  2 Ta 1.97-2.01
O9 0.2504 0.6256 0.8091  2 Ta 1.97-2.01
O10 0.2504 0.8744 0.3091  2 Ta 1.97-2.01
O11 0.4208 0.6059 0.5826  1 Ta 1.93
O12 0.4208 0.8941 0.0826  1 Ta 1.93
O13 0.4336 0.1395 0.5771  1 Ta 2.00
O14 0.4336 0.3605 0.0771  1 Ta 2.00
O15 0.4856 0.6265 0.2306  2 Ta 1.98-2.00
O16 0.4856 0.8735 0.7306  2 Ta 1.98-2.00
O17 0.5144 0.1265 0.2694  2 Ta 1.98-2.00
O18 0.5144 0.3735 0.7694  2 Ta 1.98-2.00
O19 0.5664 0.6395 0.9229  1 Ta 2.00
O20 0.5664 0.8605 0.4229  1 Ta 2.00
O21 0.5792 0.1059 0.9174  1 Ta 1.93
O22 0.5792 0.3941 0.4174  1 Ta 1.93
O23 0.7496 0.1256 0.6909  2 Ta 1.97-2.01
O24 0.7496 0.3744 0.1909  2 Ta 1.97-2.01
O25 0.7504 0.6256 0.6909  2 Ta 1.97-2.01
O26 0.7504 0.8744 0.1909  2 Ta 1.97-2.01
O27 0.9208 0.6059 0.9174  1 Ta 1.93
O28 0.9208 0.8941 0.4174  1 Ta 1.93
O29 0.9336 0.1395 0.9229  1 Ta 2.00
O30 0.9336 0.3605 0.4229  1 Ta 2.00
O31 0.9856 0.6265 0.2694  2 Ta 1.98-2.00
O32 0.9856 0.8735 0.7694  2 Ta 1.98-2.00

Computed properties:
SG: Pbca, No. 61
DOS(E_F): 0.0000 states/eV per atom
calculated density: 7.8 g/cm3
formation energy from raw total energies: -1879 kJ/mol of formula units